No. 1
EuHo2: optimized geometry, PBE.

Values from the calculation:
The energy above the most stable polymorph in this dataset is 0.51 eV per formula unit. The space group is Fd-3m. As for the formation energy: 5.37 kcal/mol of atoms.

Cell lengths 6.777, 6.777, 6.777 Å; angles 60.00, 60.00, 60.00 degrees
Site moments in Bohr magnetons follow the coordinates.
Element x y z (fractional)
Eu1 0.000 0.000 0.000  6.87
Eu2 0.250 0.250 0.250  6.87
Ho1 0.125 0.625 0.625  0.13
Ho2 0.625 0.125 0.625  0.13
Ho3 0.625 0.625 0.625  0.13
Ho4 0.625 0.625 0.125  0.13


No. 2
LaMgOs2: optimized geometry, PBE.

Values from the calculation:
The space group is Pm. As for the formation energy: 4.44 kcal/mol of atoms.

Cell lengths 3.670, 2.919, 8.303 Å; angles 69.31, 90.00, 90.00 degrees
Element x y z (fractional)
La1 0.000 0.536 0.466
Mg1 0.500 0.686 0.814
Os1 0.000 0.959 0.040
Os2 0.500 0.320 0.179


No. 3
Li5GaPd6: optimized geometry, PBE.

Values from the calculation:
The energy above the most stable polymorph in this dataset is 0.88 eV per formula unit. The space group is C2/m. As for the formation energy: -10.78 kcal/mol of atoms.

Cell lengths 8.384, 4.920, 4.909 Å; angles 59.93, 84.51, 78.99 degrees
Element x y z (fractional)
Li1 0.500 0.167 0.666
Li2 0.000 0.334 0.333
Li3 0.500 0.500 0.000
Li4 0.000 0.666 0.667
Li5 0.500 0.833 0.334
Ga1 0.000 0.000 0.000
Pd1 0.755 0.080 0.332
Pd2 0.245 0.588 0.332
Pd3 0.246 0.251 0.000
Pd4 0.754 0.749 0.000
Pd5 0.755 0.412 0.668
Pd6 0.245 0.920 0.668


No. 4
SrHg2Os2: optimized geometry, PBE.

Values from the calculation:
The energy above the most stable polymorph in this dataset is 0.00 eV per formula unit. The space group is I4/mmm. As for the formation energy: 10.59 kcal/mol of atoms.

Cell lengths 3.581, 3.581, 9.539 Å; angles 79.18, 79.18, 90.00 degrees
Element x y z (fractional)
Sr1 0.000 0.000 0.000
Os1 0.750 0.250 0.500
Os2 0.250 0.750 0.500
Hg1 0.380 0.380 0.240
Hg2 0.620 0.620 0.760


Please write out number 4 again, unchanged.
SrHg2Os2: optimized geometry, PBE.

Values from the calculation:
The energy above the most stable polymorph in this dataset is 0.00 eV per formula unit. The space group is I4/mmm. As for the formation energy: 10.59 kcal/mol of atoms.

Cell lengths 3.581, 3.581, 9.539 Å; angles 79.18, 79.18, 90.00 degrees
Element x y z (fractional)
Sr1 0.000 0.000 0.000
Os1 0.750 0.250 0.500
Os2 0.250 0.750 0.500
Hg1 0.380 0.380 0.240
Hg2 0.620 0.620 0.760